! GGA-PBE La2AlTl, optimized geometry; values from VASP
! mass density	6.582	g cm⁻³
! energy of formation from the pure elements	-0.75	eV/f.u.
&SYSTEM
  ibrav = 0, nat = 4, ntyp = 3
/
ATOMIC_SPECIES
Al 26.98 Al.upf
La 138.91 La.upf
Tl 204.38 Tl.upf
CELL_PARAMETERS angstrom
10.107 0.003 0.002
9.361 3.810 0.002
9.361 1.834 3.340
ATOMIC_POSITIONS angstrom
Al 21.621 4.236 2.508
La 0.191 0.037 0.022
La 14.223 2.786 1.650
Tl 7.207 1.412 0.836

***

! GGA-PBE Cr3In2, optimized geometry; values from VASP
! energy above the most stable polymorph in this dataset	0.265	eV per atom
! mass density	6.105	g cm⁻³
! energy of formation from the pure elements	3.88	eV/f.u.
&SYSTEM
  ibrav = 0, nat = 5, ntyp = 2
/
ATOMIC_SPECIES
Cr 52.00 Cr.upf
In 114.82 In.upf
CELL_PARAMETERS angstrom
2.301 -3.985 0.000
2.301 3.985 0.000
0.000 0.000 5.720
ATOMIC_POSITIONS angstrom
Cr 2.301 -1.328 3.778
Cr 0.000 0.000 0.000
Cr 2.301 1.328 1.942
In 2.301 -1.328 1.000
In 2.301 1.328 4.720

***

! GGA-PBE Rb3VS, optimized geometry; values from VASP
! energy above the most stable polymorph in this dataset	0.000	eV per atom
! mass density	2.118	g cm⁻³
! uncorrected formation energy	264	meV per atom
&SYSTEM
  ibrav = 0, nat = 5, ntyp = 3
/
ATOMIC_SPECIES
Rb 85.47 Rb.upf
S 32.06 S.upf
V 50.94 V.upf
CELL_PARAMETERS angstrom
-5.112 -3.290 -2.103
1.976 -5.168 3.281
-3.367 1.961 5.118
ATOMIC_POSITIONS angstrom
Rb -1.684 0.981 2.559
Rb -2.556 -1.645 -1.051
Rb 0.988 -2.584 1.640
S 0.000 0.000 0.000
V -3.251 -3.248 3.148

***

! GGA-PBE SrHoSi, optimized geometry; values from VASP
! mass density	5.172	g cm⁻³
! uncorrected formation energy	-411	meV per atom
&SYSTEM
  ibrav = 0, nat = 6, ntyp = 3
/
ATOMIC_SPECIES
Sr 87.62 Sr.upf
Si 28.09 Si.upf
Ho 164.93 Ho.upf
CELL_PARAMETERS angstrom
-3.892 -0.388 -2.704
1.468 -4.266 -1.501
-3.862 -3.459 6.055
ATOMIC_POSITIONS angstrom
Sr -2.484 -0.676 -0.508
Sr -2.589 -5.110 4.461
Si -0.326 -3.083 0.912
Si -4.747 -2.703 3.041
Ho -1.931 -1.730 3.028
Ho -3.143 -4.056 0.925

***

! GGA-PBE Sm2CdPd4, optimized geometry; values from VASP
! mass density	7.925	g cm⁻³
! energy of formation from the pure elements	-0.89	eV/f.u.
&SYSTEM
  ibrav = 0, nat = 7, ntyp = 3
/
ATOMIC_SPECIES
Pd 106.42 Pd.upf
Cd 112.41 Cd.upf
Sm 150.36 Sm.upf
CELL_PARAMETERS angstrom
4.954 0.000 0.000
0.000 4.954 0.000
-2.477 -2.477 7.163
ATOMIC_POSITIONS angstrom
Pd 0.000 2.477 0.000
Pd 0.000 0.000 2.655
Pd 2.477 0.000 0.000
Pd 2.477 2.477 4.507
Cd 0.000 0.000 0.000
Sm 2.477 2.477 1.864
Sm 0.000 0.000 5.299

***

! GGA-PBE DyEr4Tm5, optimized geometry; values from VASP
! energy above the most stable polymorph in this dataset	0.259	eV per atom
! mass density	8.874	g cm⁻³
! energy of formation from the pure elements	3.14	eV/f.u.
&SYSTEM
  ibrav = 0, nat = 10, ntyp = 3
/
ATOMIC_SPECIES
Tm 168.93 Tm.upf
Er 167.26 Er.upf
Dy 162.50 Dy.upf
CELL_PARAMETERS angstrom
-5.629 0.323 -2.636
-4.225 -6.437 0.887
-5.495 2.753 4.723
ATOMIC_POSITIONS angstrom
Tm -3.835 0.220 -1.796
Tm -6.484 0.690 -0.034
Tm -8.305 -4.084 3.271
Tm -3.655 -3.738 0.730
Tm -11.134 0.345 2.506
Er -7.005 -2.907 0.620
Er -10.780 -2.602 1.371
Er -4.023 -0.791 1.859
Er -7.798 -0.486 2.609
Dy -1.249 0.072 -0.585

***

! GGA-PBE CaHf2NbO8, optimized geometry; values from VASP
! mass density	6.410	g cm⁻³
! uncorrected formation energy	-2945	meV per atom
&SYSTEM
  ibrav = 0, nat = 12, ntyp = 4
/
ATOMIC_SPECIES
Hf 178.49 Hf.upf
Nb 92.91 Nb.upf
O 16.00 O.upf
Ca 40.08 Ca.upf
CELL_PARAMETERS angstrom
4.926 0.026 -0.003
0.072 4.927 -0.005
0.004 0.007 6.596
ATOMIC_POSITIONS angstrom
Hf 2.502 2.482 4.893
Hf 2.500 2.479 1.694
Nb 0.000 0.000 0.000
O 3.944 1.019 1.416
O 1.059 3.942 5.171
O 3.398 3.367 3.292
O 3.519 3.491 6.590
O 1.604 1.594 3.295
O 1.483 1.470 -0.003
O 1.056 3.937 1.415
O 3.946 1.024 5.172
Ca 0.002 0.004 3.298

***

! GGA-PBE YMo2W, optimized geometry; values from VASP
! energy above the most stable polymorph in this dataset	0.140	eV per atom
! mass density	10.505	g cm⁻³
! energy of formation from the pure elements	1.63	eV/f.u.
&SYSTEM
  ibrav = 0, nat = 4, ntyp = 3
/
ATOMIC_SPECIES
Y 88.91 Y.upf
Mo 95.94 Mo.upf
W 183.84 W.upf
CELL_PARAMETERS angstrom
-1.390 -1.084 -4.146
-2.500 -0.961 1.089
-3.164 4.785 -0.191
ATOMIC_POSITIONS angstrom
Y -4.965 2.327 -1.392
Mo -2.107 0.425 -1.853
Mo -0.132 0.126 0.011
W -2.682 1.774 0.435

***

! GGA-PBE Nd4Ho5Er2, optimized geometry; values from VASP
! energy above the most stable polymorph in this dataset	0.000	eV per atom
! mass density	8.046	g cm⁻³
! energy of formation from the pure elements	1.18	eV/f.u.
&SYSTEM
  ibrav = 0, nat = 11, ntyp = 3
/
ATOMIC_SPECIES
Nd 144.24 Nd.upf
Ho 164.93 Ho.upf
Er 167.26 Er.upf
CELL_PARAMETERS angstrom
5.485 0.000 -1.338
-0.318 6.499 -1.304
-0.516 1.802 9.795
ATOMIC_POSITIONS angstrom
Nd 3.583 1.165 2.777
Nd -0.003 1.944 -0.013
Nd 4.654 6.357 7.166
Nd 1.067 7.136 4.376
Ho 0.801 3.367 3.282
Ho 2.742 0.000 -0.669
Ho 0.296 6.252 1.214
Ho 3.850 4.935 3.870
Ho 4.354 2.049 5.939
Er 1.648 4.345 6.757
Er 3.002 3.956 0.396

***

! GGA-PBE PmTePd, optimized geometry; values from VASP
! energy above the most stable polymorph in this dataset	0.234	eV per atom
! mass density	8.358	g cm⁻³
! uncorrected formation energy	-835	meV per atom
&SYSTEM
  ibrav = 0, nat = 3, ntyp = 3
/
ATOMIC_SPECIES
Pd 106.42 Pd.upf
Te 127.60 Te.upf
Pm 145.00 Pm.upf
CELL_PARAMETERS angstrom
4.070 0.000 0.000
0.000 4.070 0.000
-2.035 -2.035 4.547
ATOMIC_POSITIONS angstrom
Pd 2.035 2.035 3.991
Te 2.035 2.035 1.170
Pm 0.000 0.000 2.569

***

! GGA-PBE AlFeAs2Se, optimized geometry; values from VASP
! energy above the most stable polymorph in this dataset	0.000	eV per atom
! mass density	4.984	g cm⁻³
! uncorrected formation energy	360	meV per atom
&SYSTEM
  ibrav = 0, nat = 5, ntyp = 4
/
ATOMIC_SPECIES
As 74.92 As.upf
Se 78.96 Se.upf
Al 26.98 Al.upf
Fe 55.84 Fe.upf
CELL_PARAMETERS angstrom
4.390 0.000 0.000
0.000 4.390 0.000
0.000 0.000 5.387
ATOMIC_POSITIONS angstrom
As 2.195 0.000 0.000
As 0.000 2.195 0.000
Se 0.000 0.000 2.693
Al 2.195 2.195 2.693
Fe 0.000 0.000 0.000

***

! GGA-PBE LiMn3S6, optimized geometry; values from VASP
! mass density	2.969	g cm⁻³
! uncorrected formation energy	-641	meV per atom
&SYSTEM
  ibrav = 0, nat = 20, ntyp = 3
/
ATOMIC_SPECIES
S 32.06 S.upf
Li 6.94 Li.upf
Mn 54.94 Mn.upf
CELL_PARAMETERS angstrom
-2.211 1.564 1.975
-3.756 -8.079 2.191
10.718 3.993 8.837
ATOMIC_POSITIONS angstrom
S 4.842 -0.439 7.190
S -3.246 -6.646 3.051
S -2.459 -2.766 3.704
S 7.209 0.244 9.299
S 0.451 -1.060 2.767
S 1.851 -4.523 7.075
S 2.900 2.002 5.928
S 4.299 -1.461 10.236
S -0.521 -5.169 4.931
S -0.092 -2.083 5.813
S 5.271 2.647 8.072
S 7.996 4.125 9.953
Li -1.669 -2.240 1.327
Li 6.420 -0.281 11.676
Mn 4.928 0.688 9.238
Mn 5.195 1.550 6.011
Mn -0.445 -4.072 6.993
Mn 5.673 -3.299 10.385
Mn -0.923 0.778 2.618
Mn -0.177 -3.209 3.765

***

! GGA-PBE CsLa3Tl, optimized geometry; values from VASP
! energy above the most stable polymorph in this dataset	0.517	eV per atom
! mass density	6.113	g cm⁻³
! energy of formation from the pure elements	4.31	eV/f.u.
&SYSTEM
  ibrav = 0, nat = 5, ntyp = 3
/
ATOMIC_SPECIES
Cs 132.91 Cs.upf
La 138.91 La.upf
Tl 204.38 Tl.upf
CELL_PARAMETERS angstrom
5.894 0.000 0.000
0.000 5.894 0.000
0.000 0.000 5.894
ATOMIC_POSITIONS angstrom
Cs 0.000 0.000 0.000
La 0.000 2.947 0.000
La 2.947 0.000 0.000
La 0.000 0.000 2.947
Tl 2.947 2.947 2.947

***

! GGA-PBE Pm2Al4InCu3, optimized geometry; values from VASP
! mass density	6.092	g cm⁻³
! energy of formation from the pure elements	-3.99	eV/f.u.
&SYSTEM
  ibrav = 0, nat = 10, ntyp = 4
/
ATOMIC_SPECIES
Al 26.98 Al.upf
In 114.82 In.upf
Pm 145.00 Pm.upf
Cu 63.55 Cu.upf
CELL_PARAMETERS angstrom
-4.122 -0.529 -0.989
0.970 -3.570 -2.137
-1.381 -5.622 8.765
ATOMIC_POSITIONS angstrom
Al -2.964 -3.938 5.233
Al 0.000 0.000 0.000
Al 0.006 -3.733 1.969
Al -1.576 -2.049 -1.563
In -2.267 -4.860 2.820
Pm -0.566 -6.064 5.602
Pm -2.391 -1.608 1.600
Cu -3.277 -5.210 7.217
Cu -0.691 -2.811 4.383
Cu 0.319 -2.461 -0.014

***

! GGA-PBE Er2IrPd, optimized geometry; values from VASP
! energy above the most stable polymorph in this dataset	0.020	eV per atom
! mass density	12.923	g cm⁻³
! energy of formation from the pure elements	-3.75	eV/f.u.
&SYSTEM
  ibrav = 0, nat = 4, ntyp = 3
/
ATOMIC_SPECIES
Er 167.26 Er.upf
Pd 106.42 Pd.upf
Ir 192.22 Ir.upf
CELL_PARAMETERS angstrom
-1.033 3.268 0.283
-0.210 -0.362 3.414
6.547 2.017 0.617
ATOMIC_POSITIONS angstrom
Er 4.840 1.491 0.456
Er 1.707 0.526 0.161
Pd -0.622 1.453 1.848
Ir 2.652 2.462 2.157

***

! GGA-PBE ScIn4, optimized geometry; values from VASP
! energy above the most stable polymorph in this dataset	0.557	eV per atom
! mass density	4.713	g cm⁻³
! energy of formation from the pure elements	2.07	eV/f.u.
&SYSTEM
  ibrav = 0, nat = 5, ntyp = 2
/
ATOMIC_SPECIES
In 114.82 In.upf
Sc 44.96 Sc.upf
CELL_PARAMETERS angstrom
-3.283 -4.469 -0.926
1.004 0.406 -5.516
4.452 -3.386 0.561
ATOMIC_POSITIONS angstrom
In 0.585 -3.927 -0.182
In 0.000 0.000 0.000
In -1.139 -2.031 -3.221
In 2.728 -1.490 -2.478
Sc 1.086 -3.725 -2.941

***

! GGA-PBE MgSbTe2S, optimized geometry; values from VASP
! energy above the most stable polymorph in this dataset	0.328	eV per atom
! mass density	4.663	g cm⁻³
! uncorrected formation energy	655	meV per atom
&SYSTEM
  ibrav = 0, nat = 5, ntyp = 4
/
ATOMIC_SPECIES
Te 127.60 Te.upf
Sb 121.76 Sb.upf
S 32.06 S.upf
Mg 24.30 Mg.upf
CELL_PARAMETERS angstrom
5.289 0.000 0.000
0.000 5.289 0.000
0.000 0.000 5.518
ATOMIC_POSITIONS angstrom
Te 2.644 0.000 0.000
Te 0.000 2.644 0.000
Sb 0.000 0.000 2.759
S 2.644 2.644 2.759
Mg 0.000 0.000 0.000

***

! GGA-PBE BaCeN2, optimized geometry; values from VASP
! mass density	6.754	g cm⁻³
! uncorrected formation energy	-1048	meV per atom
&SYSTEM
  ibrav = 0, nat = 8, ntyp = 3
/
ATOMIC_SPECIES
Ba 137.33 Ba.upf
Ce 140.12 Ce.upf
N 14.01 N.upf
CELL_PARAMETERS angstrom
3.697 0.000 0.000
-1.848 3.201 0.000
0.000 0.000 12.692
ATOMIC_POSITIONS angstrom
Ba 1.848 1.067 3.173
Ba 0.000 2.134 9.519
Ce 0.000 0.000 6.346
Ce 0.000 0.000 0.000
N 1.848 1.067 11.476
N 1.848 1.067 7.562
N 0.000 2.134 5.130
N 0.000 2.134 1.216

***

! GGA-PBE Ta3SnS, optimized geometry; values from VASP
! energy above the most stable polymorph in this dataset	0.000	eV per atom
! mass density	11.924	g cm⁻³
! uncorrected formation energy	276	meV per atom
&SYSTEM
  ibrav = 0, nat = 5, ntyp = 3
/
ATOMIC_SPECIES
Ta 180.95 Ta.upf
Sn 118.71 Sn.upf
S 32.06 S.upf
CELL_PARAMETERS angstrom
-2.700 -1.822 -3.231
3.340 0.546 -3.098
1.615 -4.176 1.005
ATOMIC_POSITIONS angstrom
Ta 1.670 0.273 -1.549
Ta -1.350 -0.911 -1.616
Ta 0.807 -2.088 0.502
Sn 1.127 -2.726 -2.662
S 0.000 0.000 0.000

***

! GGA-PBE ZrSc2Sb, optimized geometry; values from VASP
! mass density	5.286	g cm⁻³
! uncorrected formation energy	-247	meV per atom
&SYSTEM
  ibrav = 0, nat = 4, ntyp = 3
/
ATOMIC_SPECIES
Sc 44.96 Sc.upf
Sb 121.76 Sb.upf
Zr 91.22 Zr.upf
CELL_PARAMETERS angstrom
-7.055 0.765 7.057
-6.528 -2.536 7.150
-4.555 -0.478 8.899
ATOMIC_POSITIONS angstrom
Sc -0.033 -0.004 0.042
Sc -9.037 -1.120 11.511
Sb -13.604 -1.686 17.330
Zr -4.535 -0.562 5.777